# 1
This record from the Alexandria database describes crystalline BeTeSe at its relaxed geometry. The functional is PBE.

Summary:
Calculated density: 4.9 g cm⁻³
Raw total energy: -31.8 eV per cell
Total magnetic moment: 0.00 μB per cell
V: 73.40 Å³/f.u.

Lattice parameters (Å, degrees): 6.646 6.646 6.646 90.00 90.00 90.00
Positions (direct):
Be1 0.000 0.000 0.000
Be2 0.000 0.500 0.500
Be3 0.500 0.000 0.500
Be4 0.500 0.500 0.000
Te1 0.250 0.250 0.250
Te2 0.250 0.750 0.750
Te3 0.750 0.250 0.750
Te4 0.750 0.750 0.250
Se1 0.000 0.000 0.500
Se2 0.000 0.500 0.000
Se3 0.500 0.000 0.000
Se4 0.500 0.500 0.500

# 2
This record from the Alexandria database describes crystalline Sr2RuSe at its relaxed geometry. The functional is PBE.

Summary:
Calculated density: 5.6 g cm⁻³
Raw total energy: -17.4 eV per cell
Total magnetic moment: 1.66 μB per cell
V: 106.12 Å³/f.u.

Lattice parameters (Å, degrees): 5.309 5.309 3.766 90.00 90.00 90.00
Positions (direct):
Sr1 0.000 0.500 0.000
Sr2 0.500 0.000 0.000
Ru1 0.000 0.000 0.500
Se1 0.500 0.500 0.500

# 3
This record from the Alexandria database describes crystalline KHfSe4 at its relaxed geometry. The functional is PBE.

Summary:
Calculated density: 5.1 g cm⁻³
Raw total energy: -60.5 eV per cell
Total magnetic moment: 0.00 μB per cell
V: 174.79 Å³/f.u.

Lattice parameters (Å, degrees): 8.098 8.098 6.820 101.39 101.39 121.33
Positions (direct):
K1 0.143 0.857 0.750
K2 0.857 0.143 0.250
Hf1 0.500 0.500 0.250
Hf2 0.500 0.500 0.750
Se1 0.151 0.311 0.871
Se2 0.295 0.591 0.473
Se3 0.311 0.151 0.371
Se4 0.409 0.705 0.027
Se5 0.591 0.295 0.973
Se6 0.689 0.849 0.629
Se7 0.705 0.409 0.527
Se8 0.849 0.689 0.129

# 4
This record from the Alexandria database describes crystalline Sm12ErCd6 at its relaxed geometry. The functional is PBE.

Summary:
Calculated density: 7.8 g cm⁻³
Raw total energy: -68.5 eV per cell
Total magnetic moment: 0.00 μB per cell
DFT formation energy: -97 meV/atom
V: 562.48 Å³/f.u.

Lattice parameters (Å, degrees): 8.261 8.261 8.261 87.65 87.65 87.65
Positions (direct):
Sm1 0.034 0.933 0.306
Sm2 0.067 0.694 0.966
Sm3 0.118 0.463 0.343
Sm4 0.306 0.034 0.933
Sm5 0.343 0.118 0.463
Sm6 0.463 0.343 0.118
Sm7 0.537 0.657 0.882
Sm8 0.657 0.882 0.537
Sm9 0.694 0.966 0.067
Sm10 0.882 0.537 0.657
Sm11 0.933 0.306 0.034
Sm12 0.966 0.067 0.694
Er1 0.500 0.500 0.500
Cd1 0.237 0.388 0.761
Cd2 0.239 0.763 0.612
Cd3 0.388 0.761 0.237
Cd4 0.612 0.239 0.763
Cd5 0.761 0.237 0.388
Cd6 0.763 0.612 0.239

# 5
This record from the Alexandria database describes crystalline BaNaIn2Ru at its relaxed geometry. The functional is PBE.

Summary:
Calculated density: 3.9 g cm⁻³
Raw total energy: -12.3 eV per cell
Total magnetic moment: 0.00 μB per cell
DFT formation energy: 1135 meV/atom
V: 208.80 Å³/f.u.

Lattice parameters (Å, degrees): 6.405 6.405 5.089 90.00 90.00 90.00
Positions (direct):
Ba1 0.000 0.000 0.000
Na1 0.500 0.500 0.500
In1 0.000 0.500 0.000
In2 0.500 0.000 0.000
Ru1 0.000 0.000 0.500

# 6
This record from the Alexandria database describes crystalline Na2SrLiCd at its relaxed geometry. The functional is PBE.

Summary:
Calculated density: 2.6 g cm⁻³
Raw total energy: -7.0 eV per cell
Total magnetic moment: 0.00 μB per cell
DFT formation energy: 36 meV/atom
V: 161.71 Å³/f.u.

Lattice parameters (Å, degrees): 5.480 5.480 5.384 90.00 90.00 90.00
Positions (direct):
Na1 0.000 0.500 0.000
Na2 0.500 0.000 0.000
Sr1 0.000 0.000 0.500
Li1 0.500 0.500 0.000
Cd1 0.500 0.500 0.500

Question: Among the records above, which one has the lowest raw total energy?
Answer: Sm12ErCd6

Question: What is the raw total energy in the second record?
Answer: -17.4 eV per cell